*P*
LiAl2H2O4: optimized geometry, PBE-GGA.

```
data_LiAl2H2O4
_symmetry_space_group_name_H-M 'C 1 m 1'
_symmetry_Int_Tables_number 8
_symmetry_space_group_name_Hall 'C -2y'
_cell_length_a 16.5276
_cell_length_b 2.9298
_cell_length_c 3.8306
_cell_angle_alpha 90.00
_cell_angle_beta 92.64
_cell_angle_gamma 90.00
loop_
_atom_site_label
_atom_site_type_symbol
_atom_site_fract_x
_atom_site_fract_y
_atom_site_fract_z
Li1 Li 0.0000 0.0000 0.0000
Al1 Al 0.1013 0.5000 0.5225
Al2 Al 0.2024 0.0000 0.0430
H1 H 0.3282 0.5000 0.0796
H2 H 0.4617 0.5000 0.4745
O1 O 0.0238 0.0000 0.5107
O2 O 0.1138 0.5000 0.0255
O3 O 0.1741 0.0000 0.5377
O4 O 0.2678 0.5000 0.0557
```

---

*Q*
LiAl2H2O4: optimized geometry, PBE-GGA.

```
data_LiAl2H2O4
_symmetry_space_group_name_H-M 'I m m 2'
_symmetry_Int_Tables_number 44
_symmetry_space_group_name_Hall 'I 2 -2'
_cell_length_a 2.8698
_cell_length_b 15.2874
_cell_length_c 3.7442
_cell_angle_alpha 90.00
_cell_angle_beta 90.00
_cell_angle_gamma 90.00
loop_
_atom_site_label
_atom_site_type_symbol
_atom_site_fract_x
_atom_site_fract_y
_atom_site_fract_z
Li1 Li 0.0000 0.0000 0.0000
Al1 Al 0.0000 0.1951 0.2068
H1 H 0.0000 0.4276 0.9269
O1 O 0.0000 0.2185 0.7074
O2 O 0.0000 0.3893 0.7029
```

---

In order of decreasing stability: *Q*, *P*.

---

*P*
LiAlSi2H2O7: optimized geometry, PBE-GGA.

```
data_LiAlSi2H2O7
_symmetry_space_group_name_H-M 'P 1'
_symmetry_Int_Tables_number 1
_symmetry_space_group_name_Hall 'P 1'
_cell_length_a 4.9986
_cell_length_b 7.7118
_cell_length_c 8.7119
_cell_angle_alpha 114.50
_cell_angle_beta 90.04
_cell_angle_gamma 90.11
loop_
_atom_site_label
_atom_site_type_symbol
_atom_site_fract_x
_atom_site_fract_y
_atom_site_fract_z
Li1 Li 0.0000 0.0000 0.0000
Li2 Li 0.4975 0.7204 0.3858
Al1 Al 0.0061 0.9352 0.3203
Al2 Al 0.4985 0.9665 0.7987
Si1 Si 0.4334 0.3866 0.8074
Si2 Si 0.5069 0.8104 0.0791
Si3 Si 0.9350 0.3700 0.5963
Si4 Si 0.9987 0.7750 0.5926
H1 H 0.2976 0.3801 0.2160
H2 H 0.4417 0.3886 0.3770
H3 H 0.7958 0.3373 0.1714
H4 H 0.9432 0.3307 0.0119
O1 O 0.0258 0.1790 0.4405
O2 O 0.1185 0.4108 0.7648
O3 O 0.3172 0.8295 0.6126
O4 O 0.3276 0.8423 0.2459
O5 O 0.3764 0.9166 0.9683
O6 O 0.4604 0.4304 0.2857
O7 O 0.4640 0.2092 0.8568
O8 O 0.5285 0.5795 0.9677
O9 O 0.6178 0.3620 0.6432
O10 O 0.8087 0.8931 0.1394
O11 O 0.8400 0.8999 0.7686
O12 O 0.8723 0.8118 0.4349
O13 O 0.9603 0.2893 0.1034
O14 O 0.9651 0.5467 0.5407
```

---

*Q*
LiAlSi2H2O7: optimized geometry, PBE-GGA.

```
data_LiAlSi2H2O7
_symmetry_space_group_name_H-M 'P 1'
_symmetry_Int_Tables_number 1
_symmetry_space_group_name_Hall 'P 1'
_cell_length_a 6.9343
_cell_length_b 7.1739
_cell_length_c 7.6214
_cell_angle_alpha 90.04
_cell_angle_beta 116.55
_cell_angle_gamma 112.21
loop_
_atom_site_label
_atom_site_type_symbol
_atom_site_fract_x
_atom_site_fract_y
_atom_site_fract_z
Li1 Li 0.0000 0.0000 0.0000
Li2 Li 0.0978 0.3917 0.0272
Al1 Al 0.4320 0.7606 0.1455
Al2 Al 0.9741 0.2676 0.4019
Si1 Si 0.0133 0.6331 0.2746
Si2 Si 0.3992 0.7638 0.7106
Si3 Si 0.5240 0.3367 0.2583
Si4 Si 0.6866 0.1056 0.6074
H1 H 0.1213 0.2250 0.6134
H2 H 0.3773 0.1141 0.9668
H3 H 0.6232 0.6056 0.7010
H4 H 0.9482 0.8012 0.2935
O1 O 0.1003 0.2412 0.2399
O2 O 0.1462 0.6714 0.1402
O3 O 0.1758 0.5896 0.5031
O4 O 0.3450 0.7780 0.8911
O5 O 0.3494 0.1183 0.0810
O6 O 0.3502 0.2766 0.3793
O7 O 0.4396 0.9758 0.6186
O8 O 0.4777 0.5335 0.1735
O9 O 0.6375 0.7139 0.7896
O10 O 0.6430 0.9097 0.4375
O11 O 0.7226 0.2945 0.4804
O12 O 0.7269 0.9852 0.2864
O13 O 0.7883 0.3990 0.2078
O14 O 0.9025 0.1704 0.8243
```

---

*R*
LiAlSi2H2O7: optimized geometry, PBE-GGA.

```
data_LiAlSi2H2O7
_symmetry_space_group_name_H-M 'P 1'
_symmetry_Int_Tables_number 1
_symmetry_space_group_name_Hall 'P 1'
_cell_length_a 5.0282
_cell_length_b 7.6353
_cell_length_c 8.5210
_cell_angle_alpha 67.93
_cell_angle_beta 87.91
_cell_angle_gamma 87.64
loop_
_atom_site_label
_atom_site_type_symbol
_atom_site_fract_x
_atom_site_fract_y
_atom_site_fract_z
Li1 Li 0.0000 0.0000 0.0000
Li2 Li 0.4814 0.2857 0.4080
Al1 Al 0.4740 0.2286 0.0891
Al2 Al 0.9789 0.2694 0.5996
Si1 Si 0.3477 0.6706 0.8522
Si2 Si 0.4856 0.0864 0.7990
Si3 Si 0.8631 0.6834 0.6165
Si4 Si 0.9757 0.0978 0.3281
H1 H 0.4088 0.6567 0.2762
H2 H 0.5289 0.5455 0.1670
H3 H 0.8123 0.5596 0.4108
H4 H 0.9572 0.6736 0.0080
O1 O 0.0836 0.6251 0.7595
O2 O 0.1124 0.2194 0.4269
O3 O 0.1165 0.7477 0.9893
O4 O 0.1704 0.1050 0.1678
O5 O 0.1750 0.1683 0.7777
O6 O 0.4547 0.4766 0.0087
O7 O 0.5167 0.8651 0.8284
O8 O 0.5494 0.5639 0.2783
O9 O 0.5623 0.6442 0.6849
O10 O 0.6214 0.1181 0.9577
O11 O 0.6479 0.2050 0.6239
O12 O 0.6810 0.1854 0.2637
O13 O 0.9304 0.8815 0.4621
O14 O 0.9328 0.5289 0.5103
```

---

In order of decreasing stability: *P*, *R*, *Q*.